AlHRh: relaxed, PBE.

Lattice parameters (Å, degrees): 3.124 3.124 28.206 90.00 90.00 90.00
Positions (direct):
Al  0.001  0.499  0.047
Al  0.001  0.501  0.453
Al  0.499  0.001  0.703
Al  0.499  0.999  0.797
Al  0.501  0.001  0.297
Al  0.501  0.999  0.203
Al  0.999  0.499  0.953
Al  0.999  0.501  0.547
H  0.001  0.499  0.215
H  0.001  0.501  0.285
H  0.499  0.001  0.535
H  0.499  0.999  0.965
H  0.501  0.001  0.465
H  0.501  0.999  0.035
H  0.999  0.499  0.785
H  0.999  0.501  0.715
Rh  0.001  0.499  0.158
Rh  0.001  0.501  0.342
Rh  0.499  0.001  0.592
Rh  0.499  0.999  0.908
Rh  0.501  0.001  0.408
Rh  0.501  0.999  0.092
Rh  0.999  0.499  0.842
Rh  0.999  0.501  0.658

Values from the calculation:
The total energy is -122.8 eV/cell. As for the density of states at the Fermi level: 1.394 states/eV/f.u.